No. 1
This record from the Alexandria database describes LaBe3Os after structural relaxation. The functional is PBE.

* space group: P2_1/m, No. 11
* excess energy over the best structure of this formula in the dataset: 0 meV/atom
* E_form: -0.1576 eV/atom

Structure (POSCAR):
```
LaBe3Os
1.0
3.9735 0.0000 -0.1937
0.0000 5.5228 0.0000
-1.6378 0.0000 7.3379
La Be Os
2 6 2
Cartesian
1.1051 1.3807 2.3549
1.2306 4.1421 4.7893
-0.7600 1.3807 4.9664
3.0044 5.3211 0.3348
-0.6687 0.2017 6.8094
3.0044 2.9631 0.3348
-0.6687 2.5597 6.8094
3.0957 4.1421 2.1778
1.2832 1.3807 6.0277
1.0525 4.1421 1.1165
```



No. 2
This record from the Alexandria database describes La2BeOs after structural relaxation. The functional is PBE.

* space group: P4mm, No. 99
* E_form: 0.0387 eV/atom

Structure (POSCAR):
```
La2BeOs
1.0
-0.8653 2.8070 1.4908
-1.5603 -1.7212 2.3353
7.1212 -0.2384 4.5822
Be Os La
1 1 2
Cartesian
3.5549 0.3833 4.9808
4.2179 -0.1412 2.7140
1.1468 0.4639 3.4313
6.4579 -0.2162 4.1553
```



No. 3
This record from the Alexandria database describes LaBe3Os after structural relaxation. The functional is PBE.

* space group: R3m, No. 160
* excess energy over the best structure of this formula in the dataset: 177 meV/atom
* E_form: 0.0198 eV/atom

Structure (POSCAR):
```
LaBe3Os
1.0
-2.7711 0.9094 4.8928
-1.5599 -3.4326 4.2697
1.5647 -0.3480 5.4660
Be Os La
3 1 1
Cartesian
-2.5926 -1.6865 6.7118
-0.3843 -2.3269 7.0037
-1.0012 -0.1154 7.3211
-0.3518 -0.3651 1.8605
-0.8569 -0.8894 4.5314
```



| no. | spin magnetization (μB/atom) | D(E_F) (states/eV/cell) |
| --- | --- | --- |
| 1 | 0.00 | 5.4 |
| 2 | 0.00 | 3.5 |
| 3 | 0.00 | 3.9 |